Record 1
VASP calculation (PBE) on an optimized crystal structure of Rb2Tl12In7.

Lattice parameters (Å, degrees): 12.8032 12.8032 4.9131 90.00 90.00 120.00
With the nearest neighbours (Å) after each atom.
Sites, in units of the cell vectors:
Rb: 0.3333 0.6667 0.2480  6 Tl 3.95-3.96, 6 In 3.99-4.03
Rb: 0.6667 0.3333 0.7520  6 Tl 3.95-3.96, 6 In 3.99-4.03
Tl: 0.0805 0.4371 0.7502  4 In 3.10-3.21
Tl: 0.1258 0.2566 0.2332  4 In 3.13-3.34
Tl: 0.1307 0.8742 0.2332  4 In 3.13-3.34
Tl: 0.2566 0.1307 0.7668  4 In 3.13-3.34
Tl: 0.3567 0.9195 0.7502  4 In 3.10-3.21
Tl: 0.4371 0.3567 0.2498  4 In 3.10-3.21
Tl: 0.5629 0.6433 0.7502  4 In 3.10-3.21
Tl: 0.6433 0.0805 0.2498  4 In 3.10-3.21
Tl: 0.7434 0.8693 0.2332  4 In 3.13-3.34
Tl: 0.8693 0.1258 0.7668  4 In 3.13-3.34
Tl: 0.8742 0.7434 0.7668  4 In 3.13-3.34
Tl: 0.9195 0.5629 0.2498  4 In 3.10-3.21
In: 0.0000 0.0000 0.5000  6 Tl 3.13
In: 0.0961 0.6864 0.7407  7 Tl 3.10-3.34
In: 0.3136 0.4097 0.7407  7 Tl 3.10-3.34
In: 0.4097 0.0961 0.2593  7 Tl 3.10-3.34
In: 0.5903 0.9039 0.7407  7 Tl 3.10-3.34
In: 0.6864 0.5903 0.2593  7 Tl 3.10-3.34
In: 0.9039 0.3136 0.2593  7 Tl 3.10-3.34

## Properties
The formation energy comes out at -8 meV per atom. For the volume, the calculation gives 33.213 A^3/atom. The space-group type is No. 147. For the total magnetization, the calculation gives 0.000 μB per atom. As for the density of states at the Fermi level: 8.03 states/eV/cell.

***

Record 2
VASP calculation (PBE) on an optimized crystal structure of MgMoIr2.

Lattice parameters (Å, degrees): 2.8028 4.1482 5.3127 90.00 90.00 90.00
With the nearest neighbours (Å) after each atom.
Sites, in units of the cell vectors:
Mg: 0.0000 0.0000 0.0000  6 Ir 2.65-2.68, 2 Mg 2.80, 4 Mo 2.95
Mo: 0.5000 0.5000 0.2952  6 Ir 2.52-2.79, 2 Mo 2.80
Ir: 0.0000 0.0000 0.4981  2 Mg 2.65-2.67, 4 Mo 2.73, 2 Ir 2.80
Ir: 0.5000 0.5000 0.8209  2 Mo 2.52-2.79, 4 Mg 2.68, 2 Ir 2.80

## Properties
The formation energy comes out at -114 meV per atom. For the volume, the calculation gives 15.442 A^3/atom. The space-group type is No. 25. For the total magnetization, the calculation gives 0.000 μB per atom. As for the density of states at the Fermi level: 2.54 states/eV/cell.

***

Record 3
VASP calculation (PBE) on an optimized crystal structure of CeThBi.

Lattice parameters (Å, degrees): 4.4462 4.4462 10.1387 90.00 90.00 90.00
With the nearest neighbours (Å) after each atom.
Sites, in units of the cell vectors:
Ce: 0.2500 0.2500 0.2066  5 Bi 3.27-3.28, 1 Th 3.64
Ce: 0.7500 0.7500 0.7934  5 Bi 3.27-3.28, 1 Th 3.64
Th: 0.2500 0.2500 0.5660  1 Bi 3.21, 4 Th 3.42
Th: 0.7500 0.7500 0.4340  1 Bi 3.21, 4 Th 3.42
Bi: 0.2500 0.2500 0.8826  1 Th 3.21, 5 Ce 3.27-3.28
Bi: 0.7500 0.7500 0.1174  1 Th 3.21, 5 Ce 3.27-3.28

## Properties
The formation energy comes out at -219 meV per atom. For the volume, the calculation gives 33.405 A^3/atom. The space-group type is No. 129. For the total magnetization, the calculation gives 0.266 μB per atom. As for the density of states at the Fermi level: 16.32 states/eV/cell.